The following is a GGA-PBE calculation of NdSc2Al2Zn2 after structural relaxation, from Alexandria.

Calculated values
As for the density of states at the Fermi level: 0.69 states/eV/atom. The calculation puts the energy relative to the elements at -322 meV per atom. As for the total magnetization: 0.00 μB per formula unit. The raw total energy is -89.2 eV/cell.

a = 4.4522 Å, b = 4.4522 Å, c = 26.2747 Å
α = 90.00°, β = 90.00°, γ = 120.00°
Space group R-3m (No. 166, hexagonal axes)
Inequivalent atoms, fractional coordinates:
Nd1 0.0000 0.0000 0.0000 (multiplicity 3)
Sc1 0.0000 0.0000 0.1320 (multiplicity 6)
Al1 0.0000 0.0000 0.2537 (multiplicity 6)
Zn1 0.0000 0.0000 0.4131 (multiplicity 6)